This record from Alexandria describes a relaxed structure of TaSiCl2. The functional is GGA-PBE.

The energy above the most stable polymorph in this dataset is 1.207 eV/atom. As for the uncorrected formation energy: 2.90 eV/f.u.

The space group is P4/mmm (No. 123) and the conventional cell measures 4.719, 4.719 and 3.054 Å, with angles of 90.00, 90.00 and 90.00 degrees. Symmetry generates all atoms from Ta at (0.000, 0.000, 0.000), Si at (0.500, 0.500, 0.000) and Cl at (0.000, 0.500, 0.500).